Entry 1:
First-principles (PBE) data for DyErPd2 after structural relaxation, as listed in OQMD via LeMat-Bulk.

Energy relative to the lowest polymorph listed for this composition: 5 meV/atom
ΔE_f: -0.9375 eV per atom

abc: 4.458 5.645 6.894
angles: 90.00 90.00 90.00
Fractional coordinates of all 8 atoms:
Dy  0.000  0.107  0.000
Dy  0.000  0.893  0.500
Er  0.500  0.393  0.363
Er  0.500  0.607  0.863
Pd  0.000  0.407  0.639
Pd  0.000  0.593  0.139
Pd  0.500  0.096  0.723
Pd  0.500  0.904  0.223

Entry 2:
First-principles (PBE) data for Y2TaSi after structural relaxation, as listed in OQMD via LeMat-Bulk.

Final energy: -0.26859 Ha/atom

abc: 4.937 4.937 4.937
angles: 60.00 60.00 60.00
Fractional coordinates of all 4 atoms:
Y  0.000  0.000  0.000
Y  0.250  0.250  0.250
Ta  0.750  0.750  0.750
Si  0.500  0.500  0.500

Entry 3:
First-principles (PBE) data for CdSn after structural relaxation, as listed in OQMD via LeMat-Bulk.

Final energy: -0.08503 Ha/atom

abc: 4.243 4.243 4.243
angles: 60.00 60.00 60.00
Fractional coordinates of all 2 atoms:
Cd  0.000  0.000  0.000
Sn  0.500  0.500  0.500

Entry 4:
First-principles (PBE) data for ReBr3Cl2 after structural relaxation, as listed in OQMD via LeMat-Bulk.

Energy relative to the lowest polymorph listed for this composition: 0 meV/atom

abc: 6.424 6.936 9.616
angles: 108.38 91.86 114.31
Fractional coordinates of all 12 atoms:
Re  0.101  0.209  0.213
Re  0.899  0.791  0.787
Br  0.071  0.814  0.570
Br  0.244  0.185  0.956
Br  0.436  0.569  0.336
Br  0.564  0.431  0.664
Br  0.756  0.815  0.044
Br  0.929  0.186  0.430
Cl  0.111  0.627  0.852
Cl  0.297  0.008  0.241
Cl  0.703  0.992  0.759
Cl  0.889  0.373  0.148

Entry 5:
First-principles (PBE) data for CsGdNiTe3 after structural relaxation, as listed in OQMD via LeMat-Bulk.

Energy relative to the lowest polymorph listed for this composition: 89 meV/atom

abc: 11.463 4.415 16.082
angles: 90.00 90.00 90.00
Fractional coordinates of all 24 atoms:
Cs  0.037  0.250  0.160
Cs  0.463  0.750  0.660
Cs  0.537  0.250  0.340
Cs  0.963  0.750  0.840
Gd  0.142  0.750  0.439
Gd  0.358  0.250  0.939
Gd  0.642  0.750  0.061
Gd  0.858  0.250  0.561
Ni  0.148  0.250  0.627
Ni  0.352  0.750  0.127
Ni  0.648  0.250  0.873
Ni  0.852  0.750  0.373
Te  0.038  0.750  0.618
Te  0.203  0.750  0.008
Te  0.232  0.250  0.772
Te  0.268  0.750  0.272
Te  0.297  0.250  0.508
Te  0.462  0.250  0.118
Te  0.538  0.750  0.882
Te  0.703  0.750  0.492
Te  0.732  0.250  0.728
Te  0.768  0.750  0.228
Te  0.797  0.250  0.992
Te  0.962  0.250  0.382

Entry 6:
First-principles (PBE) data for PmCo2Si2 after structural relaxation, as listed in OQMD via LeMat-Bulk.

Final energy: -0.24774 Ha/atom

abc: 5.687 5.687 3.918
angles: 110.08 110.08 40.30
Fractional coordinates of all 5 atoms:
Pm  0.000  0.000  0.000
Co  0.250  0.250  0.750
Co  0.750  0.750  0.250
Si  0.368  0.368  0.368
Si  0.632  0.632  0.632